(1)
Density functional theory data (PBE) for Mg4In after structural relaxation.

- spin magnetization (μB/atom) = 0.000
- DFT formation energy (eV/atom) = -0.0608
- relative energy among the computed polymorphs (eV per formula unit) = 0.00
- ρ (g/cm³) = 3.07
- volume (A^3/atom) = 22.95

a b c (Å): 7.1593 7.1593 4.4771
angles (deg): 90.00 90.00 90.00
Closest atoms and distances in Å follow each position.
Space group I4/m (No. 87)
Unique sites:
Mg1 0.1007 0.6991 0.0000 [8 per cell]  9 Mg 3.18-3.21, 3 In 3.19
In1 0.0000 0.0000 0.5000 [2 per cell]  12 Mg 3.19

---

(2)
Density functional theory data (PBE) for Tb6AlAg after structural relaxation.

- spin magnetization (μB/atom) = 0.000
- DFT formation energy (eV/atom) = -0.1481
- ρ (g/cm³) = 7.98
- volume (A^3/atom) = 28.30

a b c (Å): 5.0601 5.0601 17.6840
angles (deg): 90.00 90.00 90.00
Closest atoms and distances in Å follow each position.
Space group I4/mmm (No. 139)
Unique sites:
Tb1 0.0000 0.0000 0.2481 [4 per cell]  12 Tb 3.55-3.59
Tb2 0.0000 0.5000 0.1075 [8 per cell]  2 Ag 3.17, 2 Al 3.17
Al1 0.0000 0.0000 0.0000 [2 per cell]  8 Tb 3.17
Ag1 0.0000 0.0000 0.5000 [2 per cell]  8 Tb 3.17

---

(3)
Density functional theory data (PBE) for K2CaTc after structural relaxation.

- spin magnetization (μB/atom) = 0.787
- DFT formation energy (eV/atom) = 1.1710
- relative energy among the computed polymorphs (eV per formula unit) = 1.44
- ρ (g/cm³) = 2.41
- volume (A^3/atom) = 37.33

a b c (Å): 3.6233 3.6233 39.4008
angles (deg): 90.00 90.00 120.00
Closest atoms and distances in Å follow each position.
Space group R-3m (No. 166, hexagonal axes)
Unique sites:
K1 0.0000 0.0000 0.2374 [6 per cell]  3 Tc 3.48, 6 K 3.62
Ca1 0.0000 0.0000 0.0000 [3 per cell]  6 Ca 3.62
Tc1 0.0000 0.0000 0.5000 [3 per cell]  6 K 3.48, 6 Tc 3.62

---

(4)
Density functional theory data (PBE) for K3Tl5Pd6 after structural relaxation.

- spin magnetization (μB/atom) = 0.000
- DFT formation energy (eV/atom) = -0.1919
- ρ (g/cm³) = 8.55
- volume (A^3/atom) = 24.66

a b c (Å): 4.7524 10.8091 13.4441
angles (deg): 90.00 90.00 90.00
Closest atoms and distances in Å follow each position.
Space group Immm (No. 71)
Unique sites:
K1 0.0000 0.0000 0.0000 [2 per cell]  4 Pd 3.35
K2 0.0000 0.0000 0.3018 [4 per cell]  6 Pd 3.26-3.58, 8 Tl 3.46-3.57
Tl1 0.0000 0.3278 0.3241 [8 per cell]  4 Pd 2.79-2.95
Tl2 0.0000 0.5000 0.0000 [2 per cell]  8 Pd 2.80-3.03
Pd1 0.0000 0.1743 0.5000 [4 per cell]  4 Pd 2.83, 4 Tl 2.89-3.03
Pd2 0.0000 0.2789 0.1085 [8 per cell]  4 Tl 2.79-2.95, 3 Pd 2.83-2.92

---

(5)
Density functional theory data (PBE) for NaH3O3 after structural relaxation.

- spin magnetization (μB/atom) = 0.286
- VASP energy (eV per atom) = -4.394
- ρ (g/cm³) = 1.97
- volume (A^3/atom) = 8.90

a b c (Å): 6.0312 6.0312 3.9550
angles (deg): 90.00 90.00 120.00
Closest atoms and distances in Å follow each position.
Space group P6_3/m (No. 176)
Unique sites:
Na1 0.3333 0.6667 0.2500 [2 per cell]  3 O 2.39
H1 0.0750 0.8401 0.7500 [6 per cell]  1 O 0.99
O1 0.0537 0.3170 0.7500 [6 per cell]  1 H 0.99

---

(6)
Density functional theory data (PBE) for In2SnPb4 after structural relaxation.

- spin magnetization (μB/atom) = 0.000
- DFT formation energy (eV/atom) = 0.0411
- relative energy among the computed polymorphs (eV per formula unit) = 0.00
- ρ (g/cm³) = 9.25
- volume (A^3/atom) = 30.19

a b c (Å): 15.8477 3.4387 8.6142
angles (deg): 90.00 115.79 90.00
Closest atoms and distances in Å follow each position.
Space group C2/m (No. 12)
Unique sites:
In1 0.2202 0.0000 0.1406 [4 per cell]  1 Sn 3.16, 5 Pb 3.34-3.44, 4 In 3.42-3.44
Sn1 0.0000 0.0000 0.0000 [2 per cell]  2 In 3.16, 2 Pb 3.26, 2 Sn 3.44
Pb1 0.0791 0.0000 0.7088 [4 per cell]  1 Sn 3.26, 3 In 3.34-3.41, 5 Pb 3.37-3.59
Pb2 0.1373 0.5000 0.3921 [4 per cell]  8 Pb 3.44-3.67, 3 In 3.44-3.66, 2 Sn 3.56